# KEuCd2, relaxed, DFT GGA-PBE
data_KEuCd2
_chemical_formula_sum 'K4 Eu4 Cd8'
_symmetry_space_group_name_H-M 'F m -3 m'
_symmetry_Int_Tables_number 225
_symmetry_space_group_name_Hall '-F 4 2 3'
_cell_length_a 8.128
_cell_length_b 8.128
_cell_length_c 8.128
_cell_angle_alpha 90.00
_cell_angle_beta 90.00
_cell_angle_gamma 90.00
loop_
_atom_site_label
_atom_site_fract_x
_atom_site_fract_y
_atom_site_fract_z
K1 0.000 0.000 0.000
Eu1 0.000 0.000 0.500
Cd1 0.250 0.250 0.250
# Offset from the most stable computed form = 66 meV per atom
# E_form = -0.084 eV per atom
# V = 537.0 Å³/cell